Entry 1:
4
Lattice="0.000 3.275 3.275 3.275 0.000 3.275 3.275 3.275 0.000" Properties=species:S:1:pos:R:3 comment="Ca2POs (meta-GGA SCAN, PBEsol geometry)" formation_enthalpy_0k_ev_per_atom=0.1404 dos_ef_per_ev_cell=3.8 mass_density_kg_m3=7126 pbc="T T T"
Ca 0.000 0.000 0.000
Ca 1.637 1.637 1.637
P 4.912 4.912 4.912
Os 3.275 3.275 3.275

Entry 2:
4
Lattice="3.559 0.000 0.000 0.000 3.920 0.000 0.000 0.000 5.706" Properties=species:S:1:pos:R:3 comment="SrCo2Cl (meta-GGA SCAN, PBEsol geometry)" dos_ef_per_ev_cell=2.2 mass_density_kg_m3=5026 formation_energy_uncorrected_ev_per_fu=-0.424 pbc="T T T"
Sr 0.000 0.000 0.000
Co 0.000 1.960 2.853
Co 1.779 0.000 2.853
Cl 1.779 1.960 0.000

Entry 3:
4
Lattice="-1.559 2.013 4.257 1.559 -2.013 4.257 1.559 2.013 -4.257" Properties=species:S:1:pos:R:3 comment="LiAl2Ru (meta-GGA SCAN, PBEsol geometry)" formation_enthalpy_0k_ev_per_atom=-0.5301 dos_ef_per_ev_cell=0.8 mass_density_kg_m3=5035 pbc="T T T"
Li 0.000 0.000 0.000
Al 0.000 0.000 4.108
Al 0.000 2.013 2.095
Ru 1.559 0.000 2.077

Entry 4:
4
Lattice="4.424 0.000 0.000 -2.212 3.831 0.000 0.000 0.000 11.427" Properties=species:S:1:pos:R:3 comment="Ba3Au (meta-GGA SCAN, PBEsol geometry)" formation_enthalpy_0k_ev_per_atom=-0.3917 dos_ef_per_ev_cell=4.8 mass_density_kg_m3=5220 pbc="T T T"
Ba 0.000 0.000 0.000
Ba 0.000 2.554 3.697
Ba 0.000 2.554 7.730
Au 0.000 0.000 5.714

Entry 5:
6
Lattice="0.000 3.080 3.080 3.080 0.000 3.080 3.080 3.080 0.000" Properties=species:S:1:pos:R:3 comment="Be4AlRe (meta-GGA SCAN, PBEsol geometry)" formation_enthalpy_0k_ev_per_atom=-0.2185 dos_ef_per_ev_cell=3.2 mass_density_kg_m3=7082 pbc="T T T"
Be 2.328 2.328 2.328
Be 3.832 3.832 2.328
Be 3.832 2.328 3.832
Be 2.328 3.832 3.832
Al 0.000 0.000 0.000
Re 4.620 4.620 4.620

Entry 6:
5
Lattice="4.766 0.000 0.000 0.000 4.766 0.000 0.000 0.000 4.766" Properties=species:S:1:pos:R:3 comment="BaGaPd3 (meta-GGA SCAN, PBEsol geometry)" formation_enthalpy_0k_ev_per_atom=-0.3983 dos_ef_per_ev_cell=4.0 mass_density_kg_m3=8072 pbc="T T T"
Ba 0.000 0.000 0.000
Ga 2.383 2.383 2.383
Pd 0.000 2.383 2.383
Pd 2.383 0.000 2.383
Pd 2.383 2.383 0.000

Entry 7:
4
Lattice="-1.430 2.294 4.517 1.430 -2.294 4.517 1.430 2.294 -4.517" Properties=species:S:1:pos:R:3 comment="AlFeAg2 (meta-GGA SCAN, PBEsol geometry)" formation_enthalpy_0k_ev_per_atom=0.0629 dos_ef_per_ev_cell=1.5 mass_density_kg_m3=8362 pbc="T T T"
Al 0.000 0.000 0.000
Fe 1.430 0.000 2.051
Ag 0.000 0.000 4.347
Ag 0.000 2.294 2.274

Entry 8:
5
Lattice="6.165 0.000 0.000 0.000 6.165 0.000 0.000 0.000 4.536" Properties=species:S:1:pos:R:3 comment="K2TiBeW (meta-GGA SCAN, PBEsol geometry)" formation_enthalpy_0k_ev_per_atom=2.4054 dos_ef_per_ev_cell=4.2 mass_density_kg_m3=3072 pbc="T T T"
K 0.000 3.082 0.000
K 3.082 0.000 0.000
Ti 0.000 0.000 0.000
Be 0.000 0.000 2.268
W 3.082 3.082 2.268

Entry 9:
5
Lattice="6.311 0.000 0.000 0.000 6.311 0.000 0.000 0.000 5.969" Properties=species:S:1:pos:R:3 comment="CsNaZrBr2 (meta-GGA SCAN, PBEsol geometry)" dos_ef_per_ev_cell=3.7 mass_density_kg_m3=2842 formation_energy_uncorrected_ev_per_fu=1.187 pbc="T T T"
Cs 0.000 0.000 0.000
Na 0.000 0.000 2.985
Zr 3.156 3.156 2.985
Br 0.000 3.156 0.000
Br 3.156 0.000 0.000

Entry 10:
4
Lattice="3.192 0.000 0.000 0.000 5.336 0.000 0.000 0.000 6.211" Properties=species:S:1:pos:R:3 comment="K2TaTl (meta-GGA SCAN, PBEsol geometry)" formation_enthalpy_0k_ev_per_atom=0.9508 dos_ef_per_ev_cell=2.1 mass_density_kg_m3=7276 pbc="T T T"
K 0.000 0.000 0.000
K 1.596 2.668 0.000
Ta 0.000 2.668 3.105
Tl 1.596 0.000 3.105

Entry 11:
5
Lattice="-2.089 2.089 6.402 2.089 -2.089 6.402 2.089 2.089 -6.402" Properties=species:S:1:pos:R:3 comment="LaMg2Au2 (meta-GGA SCAN, PBEsol geometry)" formation_enthalpy_0k_ev_per_atom=-0.8828 dos_ef_per_ev_cell=3.0 mass_density_kg_m3=8635 pbc="T T T"
La 0.000 0.000 0.000
Mg 2.089 0.000 3.201
Mg 0.000 2.089 3.201
Au 0.000 0.000 5.004
Au 0.000 0.000 7.801

Entry 12:
5
Lattice="-1.758 1.758 4.701 1.758 -1.758 4.701 1.758 1.758 -4.701" Properties=species:S:1:pos:R:3 comment="GdCo2B2 (meta-GGA SCAN, PBEsol geometry)" formation_enthalpy_0k_ev_per_atom=-0.4867 dos_ef_per_ev_cell=1.9 mass_density_kg_m3=8479 pbc="T T T"
Gd 0.000 0.000 0.000
Co 1.758 0.000 2.350
Co 0.000 1.758 2.350
B 0.000 0.000 3.266
B 0.000 0.000 6.135

Entry 13:
5
Lattice="4.544 0.000 0.000 0.000 4.544 0.000 0.000 0.000 4.544" Properties=species:S:1:pos:R:3 comment="MgAg3W (meta-GGA SCAN, PBEsol geometry)" formation_enthalpy_0k_ev_per_atom=1.6870 dos_ef_per_ev_cell=4.0 mass_density_kg_m3=9412 pbc="T T T"
Mg 0.000 0.000 0.000
Ag 0.000 0.000 2.272
Ag 0.000 2.272 0.000
Ag 2.272 0.000 0.000
W 2.272 2.272 2.272

Entry 14:
5
Lattice="5.055 0.000 0.000 0.000 5.055 0.000 0.000 0.000 5.055" Properties=species:S:1:pos:R:3 comment="NiSn3Pd (meta-GGA SCAN, PBEsol geometry)" formation_enthalpy_0k_ev_per_atom=0.7142 dos_ef_per_ev_cell=3.9 mass_density_kg_m3=6701 pbc="T T T"
Ni 0.000 0.000 0.000
Sn 0.000 2.527 2.527
Sn 2.527 0.000 2.527
Sn 2.527 2.527 0.000
Pd 2.527 2.527 2.527

Entry 15:
4
Lattice="2.738 0.000 0.000 0.000 4.273 0.000 0.000 0.000 4.743" Properties=species:S:1:pos:R:3 comment="CuRh2Cl (meta-GGA SCAN, PBEsol geometry)" dos_ef_per_ev_cell=3.9 mass_density_kg_m3=9121 formation_energy_uncorrected_ev_per_fu=1.988 pbc="T T T"
Cu 0.000 0.000 0.000
Rh 0.000 2.137 2.372
Rh 1.369 2.137 0.000
Cl 1.369 0.000 2.372

Entry 16:
40
Lattice="12.526 0.000 0.000 0.000 4.979 0.000 -0.597 0.000 7.286" Properties=species:S:1:pos:R:3 comment="LiFe2F7 (meta-GGA SCAN, PBEsol geometry)" mass_density_kg_m3=3678 formation_energy_uncorrected_ev_per_fu=-26.504 pbc="T T T"
Li 0.900 1.234 2.304
Li 0.602 1.256 5.947
Li 11.328 3.723 1.339
Li 11.029 3.745 4.982
Fe 1.866 3.711 4.610
Fe 2.164 3.757 0.967
Fe 4.785 1.237 1.596
Fe 4.486 1.252 5.239
Fe 7.443 3.727 2.047
Fe 7.144 3.741 5.690
Fe 9.765 1.222 6.319
Fe 10.064 1.267 2.676
F 0.532 2.880 1.340
F 0.234 4.587 4.983
F 1.365 0.369 0.408
F 1.066 2.120 4.051
F 1.686 2.935 6.495
F 1.984 4.533 2.852
F 2.764 0.332 5.416
F 3.063 2.157 1.772
F 3.618 2.852 4.579
F 3.916 4.616 0.936
F 4.623 0.601 3.417
F 4.324 1.888 7.060
F 5.735 2.806 2.219
F 5.436 4.662 5.863
F 6.493 0.317 1.424
F 6.194 2.173 5.067
F 7.605 3.090 0.226
F 7.307 4.378 3.869
F 8.013 0.363 6.350
F 8.312 2.126 2.707
F 8.867 2.821 5.514
F 9.165 4.647 1.871
F 9.945 0.445 4.434
F 10.244 2.044 0.791
F 10.863 2.858 3.235
F 10.565 4.610 6.878
F 11.695 0.391 2.304
F 11.397 2.098 5.947

Entry 17:
4
Lattice="4.622 0.000 0.000 0.000 4.622 0.000 0.000 0.000 4.462" Properties=species:S:1:pos:R:3 comment="KRhPb2 (meta-GGA SCAN, PBEsol geometry)" formation_enthalpy_0k_ev_per_atom=0.3276 dos_ef_per_ev_cell=2.7 mass_density_kg_m3=9693 pbc="T T T"
K 0.000 0.000 0.000
Rh 2.311 2.311 0.000
Pb 0.000 2.311 2.231
Pb 2.311 0.000 2.231

Entry 18:
8
Lattice="4.349 -4.377 0.000 4.349 4.377 0.000 0.000 0.000 4.395" Properties=species:S:1:pos:R:3 comment="Zr5Cd3 (meta-GGA SCAN, PBEsol geometry)" formation_enthalpy_0k_ev_per_atom=-0.1264 dos_ef_per_ev_cell=6.9 mass_density_kg_m3=7873 pbc="T T T"
Zr 0.000 0.000 0.000
Zr 2.174 2.189 0.000
Zr 2.115 0.000 2.198
Zr 2.174 -2.189 0.000
Zr 6.582 0.000 2.198
Cd 4.349 2.145 2.198
Cd 4.349 0.000 0.000
Cd 4.349 -2.145 2.198

Entry 19:
4
Lattice="-2.026 2.026 4.372 2.026 -2.026 4.372 2.026 2.026 -4.372" Properties=species:S:1:pos:R:3 comment="BeCd2As (meta-GGA SCAN, PBEsol geometry)" formation_enthalpy_0k_ev_per_atom=0.4086 dos_ef_per_ev_cell=1.2 mass_density_kg_m3=7143 pbc="T T T"
Be 0.000 0.000 0.000
Cd 2.026 0.000 2.186
Cd 0.000 2.026 2.186
As 0.000 0.000 4.372

Entry 20:
42
Lattice="6.445 0.000 0.000 2.089 7.166 0.000 1.994 3.027 11.147" Properties=species:S:1:pos:R:3 comment="Y9U5O28 (meta-GGA SCAN, PBEsol geometry)" dos_ef_per_ev_cell=8.7 mass_density_kg_m3=7865 formation_energy_uncorrected_ev_per_fu=-158.061 pbc="T T T"
Y 0.000 0.000 0.000
Y 3.078 4.725 7.973
Y 4.135 8.302 7.951
Y 3.129 2.844 4.799
Y 4.257 4.512 1.601
Y 6.270 5.681 9.546
Y 7.398 7.350 6.348
Y 6.392 1.891 3.195
Y 7.449 5.469 3.173
U 1.044 3.583 0.000
U 4.165 6.425 4.796
U 3.214 0.950 1.622
U 7.313 9.243 9.524
U 6.362 3.768 6.351
O 1.963 3.115 6.768
O 2.084 5.100 1.081
O 3.116 6.653 6.713
O 1.166 1.603 1.214
O 4.094 6.380 9.292
O 2.117 1.157 3.547
O 3.230 4.891 3.658
O 3.198 2.722 9.224
O 5.181 7.935 5.884
O 3.187 2.820 0.432
O 4.278 4.481 5.997
O 4.327 6.558 0.449
O 4.174 2.481 2.762
O 5.276 6.212 2.828
O 5.251 3.982 8.319
O 6.352 7.713 8.385
O 6.200 3.635 10.698
O 6.249 5.713 5.150
O 7.340 7.373 10.715
O 5.346 2.258 5.263
O 7.329 7.472 1.923
O 7.296 5.302 7.489
O 8.410 9.036 7.600
O 6.432 3.814 1.855
O 9.360 8.590 9.933
O 7.411 3.540 4.434
O 8.442 5.093 10.066
O 8.563 7.078 4.379